1.
Entry from OQMD via LeMat-Bulk: a geometry-optimized SrNpW structure (PBE-GGA).

Cell and atoms, written as extended XYZ:
```
3
Lattice="0.000 3.492 3.492 3.492 0.000 3.492 3.492 3.492 0.000" Properties=species:S:1:pos:R:3 pbc="T T T"
Np 1.746 1.746 1.746
W 0.000 0.000 0.000
Sr 5.238 5.238 5.238
```

The final energy comes out at -7.57 eV per atom.


2.
Entry from OQMD via LeMat-Bulk: a geometry-optimized NaLuHf structure (PBE-GGA).

Cell and atoms, written as extended XYZ:
```
3
Lattice="3.550 -2.986 -2.281 2.197 -3.871 2.629 -1.126 -4.902 -1.194" Properties=species:S:1:pos:R:3 pbc="T T T"
Hf 0.000 0.000 0.000
Lu 1.155 -2.940 -0.211
Na 3.466 -8.819 -0.634
```

The calculation puts the offset from the most stable computed form at 0 meV/atom.


3.
Entry from OQMD via LeMat-Bulk: a geometry-optimized InGaAu structure (PBE-GGA).

Cell and atoms, written as extended XYZ:
```
6
Lattice="-0.388 -1.154 -4.400 4.446 0.836 -0.611 1.350 -6.096 1.480" Properties=species:S:1:pos:R:3 pbc="T T T"
Ga 0.000 0.000 0.000
In 2.704 -3.207 -1.766
Au 2.525 -0.945 0.025
Ga 2.029 -0.159 -2.505
Au 0.854 -5.310 -1.051
In 0.675 -3.048 0.740
```

The final energy comes out at -3.24 eV per atom.


4.
Entry from OQMD via LeMat-Bulk: a geometry-optimized AgB2Pt structure (PBE-GGA).

Cell and atoms, written as extended XYZ:
```
4
Lattice="0.000 2.951 2.951 2.951 0.000 2.951 2.951 2.951 0.000" Properties=species:S:1:pos:R:3 pbc="T T T"
Ag 4.427 4.427 4.427
Pt 0.000 0.000 0.000
B 1.476 1.476 1.476
B 2.951 2.951 2.951
```

The final energy comes out at -4.11 eV per atom.


5.
Entry from OQMD via LeMat-Bulk: a geometry-optimized PaN structure (PBE-GGA).

Cell and atoms, written as extended XYZ:
```
2
Lattice="0.000 2.675 2.675 2.675 0.000 2.675 2.675 2.675 0.000" Properties=species:S:1:pos:R:3 pbc="T T T"
Pa 1.338 1.338 1.338
N 0.000 0.000 0.000
```

The calculation puts the offset from the most stable computed form at 484 meV/atom.


6.
Entry from OQMD via LeMat-Bulk: a geometry-optimized NpZnCu structure (PBE-GGA).

Cell and atoms, written as extended XYZ:
```
3
Lattice="0.000 3.161 3.161 3.161 0.000 3.161 3.161 3.161 0.000" Properties=species:S:1:pos:R:3 pbc="T T T"
Zn 4.741 4.741 4.741
Np 1.580 1.580 1.580
Cu 0.000 0.000 0.000
```

The value obtained for the formation energy is 1.299 eV per formula unit.


7.
Entry from OQMD via LeMat-Bulk: a geometry-optimized ErZrCu structure (PBE-GGA).

Cell and atoms, written as extended XYZ:
```
3
Lattice="0.000 3.273 3.273 3.273 0.000 3.273 3.273 3.273 0.000" Properties=species:S:1:pos:R:3 pbc="T T T"
Er 1.636 1.636 1.636
Zr 4.909 4.909 4.909
Cu 0.000 0.000 0.000
```

The value obtained for the formation energy is 0.699 eV per formula unit. The calculation puts the offset from the most stable computed form at 0 meV/atom.


8.
Entry from OQMD via LeMat-Bulk: a geometry-optimized ZrU structure (PBE-GGA).

Cell and atoms, written as extended XYZ:
```
8
Lattice="11.674 0.000 0.000 0.000 2.928 0.000 0.000 0.000 5.029" Properties=species:S:1:pos:R:3 pbc="T T T"
U 7.345 0.000 2.514
Zr 0.289 0.000 0.000
Zr 10.413 1.464 2.514
Zr 1.735 0.000 2.514
U 3.355 1.464 0.000
Zr 8.965 1.464 0.000
U 4.550 1.464 2.514
U 6.153 0.000 0.000
```

The value obtained for the formation energy is 0.230 eV per formula unit. The calculation puts the offset from the most stable computed form at 0 meV/atom.


9.
Entry from OQMD via LeMat-Bulk: a geometry-optimized Os2Pd2O5 structure (PBE-GGA).

Cell and atoms, written as extended XYZ:
```
9
Lattice="7.385 0.000 0.000 0.000 3.801 0.000 0.000 0.000 3.801" Properties=species:S:1:pos:R:3 pbc="T T T"
Pd 3.692 0.000 0.000
O 1.652 0.000 1.901
O 1.652 1.901 0.000
Pd 0.000 0.000 0.000
O 5.733 1.901 0.000
O 3.692 1.901 1.901
O 5.733 0.000 1.901
Os 1.584 1.901 1.901
Os 5.801 1.901 1.901
```

The calculation puts the offset from the most stable computed form at 0 meV/atom.


10.
Entry from OQMD via LeMat-Bulk: a geometry-optimized TmScTl structure (PBE-GGA).

Cell and atoms, written as extended XYZ:
```
3
Lattice="0.000 3.540 3.540 3.540 0.000 3.540 3.540 3.540 0.000" Properties=species:S:1:pos:R:3 pbc="T T T"
Sc 1.770 1.770 1.770
Tm 0.000 0.000 0.000
Tl 5.309 5.309 5.309
```

The calculation puts the offset from the most stable computed form at 484 meV/atom.


11.
Entry from OQMD via LeMat-Bulk: a geometry-optimized DyMg structure (PBE-GGA).

Cell and atoms, written as extended XYZ:
```
10
Lattice="1.022 -1.894 -4.625 8.773 5.434 -3.101 2.960 -3.571 2.116" Properties=species:S:1:pos:R:3 pbc="T T T"
Mg 5.703 2.840 -3.183
Dy 4.513 0.579 -5.335
Dy 5.537 -0.218 -1.971
Dy 7.716 3.054 -5.639
Mg 8.686 2.214 -2.271
Mg 7.698 0.108 -4.444
Mg 8.708 5.161 -3.470
Mg 10.697 2.424 -4.730
Dy 4.084 -2.682 -4.096
Dy 2.147 0.093 -2.845
```

The final energy comes out at -3.12 eV per atom.


12.
Entry from OQMD via LeMat-Bulk: a geometry-optimized Sc2Cu2Sn structure (PBE-GGA).

Cell and atoms, written as extended XYZ:
```
5
Lattice="-2.167 2.167 5.237 2.167 -2.167 5.237 2.167 2.167 -5.237" Properties=species:S:1:pos:R:3 pbc="T T T"
Cu 0.000 0.000 6.368
Sc 0.000 2.167 2.619
Cu 0.000 0.000 4.107
Sn 0.000 0.000 0.000
Sc 2.167 0.000 2.619
```

The final energy comes out at -4.90 eV per atom.


13.
Entry from OQMD via LeMat-Bulk: a geometry-optimized LiYFeBi structure (PBE-GGA).

Cell and atoms, written as extended XYZ:
```
4
Lattice="-1.113 -3.006 3.712 -4.008 -2.816 -0.242 0.443 -4.852 -0.556" Properties=species:S:1:pos:R:3 pbc="T T T"
Li -2.339 -5.337 1.457
Fe -3.508 -8.006 2.185
Y -1.169 -2.669 0.728
Bi 0.000 0.000 0.000
```

The calculation puts the offset from the most stable computed form at 206 meV/atom.


14.
Entry from OQMD via LeMat-Bulk: a geometry-optimized BaLiGeAu structure (PBE-GGA).

Cell and atoms, written as extended XYZ:
```
4
Lattice="2.109 -3.153 3.388 2.094 1.860 4.246 -2.249 -0.776 4.496" Properties=species:S:1:pos:R:3 pbc="T T T"
Ba 0.488 -0.517 3.033
Li 0.977 -1.035 6.065
Ge 0.000 0.000 0.000
Au 1.465 -1.552 9.098
```

The calculation puts the offset from the most stable computed form at 0 meV/atom.


15.
Entry from OQMD via LeMat-Bulk: a geometry-optimized NaTmHgTe3 structure (PBE-GGA).

Cell and atoms, written as extended XYZ:
```
12
Lattice="7.438 -2.177 0.000 7.438 2.177 0.000 0.000 0.000 11.649" Properties=species:S:1:pos:R:3 pbc="T T T"
Na 3.394 0.000 8.737
Te 9.534 0.000 6.411
Te 9.534 0.000 11.063
Te 1.366 0.000 2.912
Te 5.342 0.000 5.238
Tm 0.000 0.000 0.000
Te 5.342 0.000 0.586
Hg 7.955 0.000 8.737
Na 11.483 0.000 2.912
Hg 6.922 0.000 2.912
Te 13.510 0.000 8.737
Tm 0.000 0.000 5.825
```

The final energy comes out at -3.42 eV per atom.


16.
Entry from OQMD via LeMat-Bulk: a geometry-optimized LiSn5Pd3 structure (PBE-GGA).

Cell and atoms, written as extended XYZ:
```
9
Lattice="-2.300 0.395 -5.013 -2.590 -2.777 4.019 -3.686 6.644 2.215" Properties=species:S:1:pos:R:3 pbc="T T T"
Pd -4.288 2.131 0.611
Sn -1.843 3.322 1.108
Pd -2.993 3.519 -1.399
Sn -3.126 0.652 -1.564
Pd -3.138 1.933 3.117
Sn -5.450 3.610 2.785
Li 0.000 0.000 0.000
Sn -3.223 -0.405 1.447
Sn -5.353 4.667 -0.225
```

The final energy comes out at -4.44 eV per atom.


17.
Entry from OQMD via LeMat-Bulk: a geometry-optimized CoBiTe structure (PBE-GGA).

Cell and atoms, written as extended XYZ:
```
3
Lattice="0.000 3.256 3.256 3.256 0.000 3.256 3.256 3.256 0.000" Properties=species:S:1:pos:R:3 pbc="T T T"
Co 0.000 0.000 0.000
Te 4.884 4.884 4.884
Bi 1.628 1.628 1.628
```

The final energy comes out at -4.64 eV per atom.


18.
Entry from OQMD via LeMat-Bulk: a geometry-optimized AlCoMoIr structure (PBE-GGA).

Cell and atoms, written as extended XYZ:
```
4
Lattice="0.000 3.032 3.032 3.032 0.000 3.032 3.032 3.032 0.000" Properties=species:S:1:pos:R:3 pbc="T T T"
Mo 3.032 3.032 3.032
Ir 1.516 1.516 1.516
Co 4.548 4.548 4.548
Al 0.000 0.000 0.000
```

The calculation puts the offset from the most stable computed form at 0 meV/atom.


19.
Entry from OQMD via LeMat-Bulk: a geometry-optimized ScInCu2 structure (PBE-GGA).

Cell and atoms, written as extended XYZ:
```
4
Lattice="-1.742 -0.510 -2.788 2.812 0.104 -1.776 0.672 -6.153 0.705" Properties=species:S:1:pos:R:3 pbc="T T T"
Cu 1.028 -4.719 -1.765
Cu 0.713 -1.840 -2.094
Sc 0.336 -3.076 0.352
In 0.000 0.000 0.000
```

The final energy comes out at -4.30 eV per atom.


20.
Entry from OQMD via LeMat-Bulk: a geometry-optimized NbBiPt2 structure (PBE-GGA).

Cell and atoms, written as extended XYZ:
```
4
Lattice="0.000 3.338 3.338 3.338 0.000 3.338 3.338 3.338 0.000" Properties=species:S:1:pos:R:3 pbc="T T T"
Pt 5.007 5.007 5.007
Bi 3.338 3.338 3.338
Nb 1.669 1.669 1.669
Pt 0.000 0.000 0.000
```

The final energy comes out at -6.59 eV per atom.